Material: Nb2GeSb2
Method: DFT, GGA-PBE
State: relaxed

Polymorph energy (0 for the lowest one), meV/atom: 612
M_tot, μB per formula unit: 0.00
Formation energy from raw total energies, meV/atom: 558
Space group: No. 123

Lattice parameters (Å, degrees): 2.8980 2.8980 14.3735 90.00 90.00 90.00
With the nearest neighbours (Å) after each atom.
Atoms (fractional coordinates):
Nb1 0.0000 0.0000 0.1797  1 Ge 2.58, 1 Sb 2.88
Nb2 0.0000 0.0000 0.8203  1 Ge 2.58, 1 Sb 2.88
Ge1 0.0000 0.0000 0.0000  2 Nb 2.58
Sb1 0.0000 0.0000 0.3798  1 Nb 2.88, 4 Sb 2.90
Sb2 0.0000 0.0000 0.6202  1 Nb 2.88, 4 Sb 2.90

Material: Nb2GeSb2
Method: DFT, GGA-PBE
State: relaxed

Polymorph energy (0 for the lowest one), meV/atom: 0
M_tot, μB per formula unit: 0.00
Formation energy from raw total energies, meV/atom: -54
Space group: No. 127

Lattice parameters (Å, degrees): 7.3374 7.3374 3.8539 90.00 90.00 90.00
With the nearest neighbours (Å) after each atom.
Atoms (fractional coordinates):
Nb1 0.1485 0.3515 0.0000  2 Ge 2.80, 6 Sb 2.84-2.92, 1 Nb 3.08
Nb2 0.3515 0.8515 0.0000  2 Ge 2.80, 6 Sb 2.84-2.92, 1 Nb 3.08
Nb3 0.6485 0.1485 0.0000  2 Ge 2.80, 6 Sb 2.84-2.92, 1 Nb 3.08
Nb4 0.8515 0.6485 0.0000  2 Ge 2.80, 6 Sb 2.84-2.92, 1 Nb 3.08
Ge1 0.0000 0.0000 0.0000  4 Nb 2.80
Ge2 0.5000 0.5000 0.0000  4 Nb 2.80
Sb1 0.1507 0.6507 0.5000  6 Nb 2.84-2.92, 1 Sb 3.13
Sb2 0.3493 0.1507 0.5000  6 Nb 2.84-2.92, 1 Sb 3.13
Sb3 0.6507 0.8493 0.5000  6 Nb 2.84-2.92, 1 Sb 3.13
Sb4 0.8493 0.3493 0.5000  6 Nb 2.84-2.92, 1 Sb 3.13

Material: Nb3GeSb
Method: DFT, GGA-PBE
State: relaxed

Polymorph energy (0 for the lowest one), meV/atom: 0
M_tot, μB per formula unit: 0.00
Formation energy from raw total energies, meV/atom: -70
Space group: No. 6

Lattice parameters (Å, degrees): 7.9240 3.5567 8.0449 90.00 118.76 90.00
With the nearest neighbours (Å) after each atom.
Atoms (fractional coordinates):
Nb1 0.0000 0.0000 0.0000  2 Ge 2.74, 5 Nb 2.82-3.02, 3 Sb 2.95-3.06
Nb2 0.0100 0.5000 0.2765  1 Ge 2.68, 2 Sb 2.80, 4 Nb 2.82-2.96
Nb3 0.3020 0.0000 0.8978  2 Ge 2.55, 1 Sb 2.77
Nb4 0.3458 0.0000 0.4824  2 Ge 2.55, 1 Nb 2.68
Nb5 0.6510 0.5000 0.7972  2 Ge 2.78-2.82, 2 Sb 2.99, 6 Nb 3.02-3.11
Nb6 0.6932 0.0000 0.5025  1 Nb 2.68, 2 Ge 2.71
Ge1 0.2534 0.5000 0.6510  6 Nb 2.55-2.78, 1 Ge 2.62
Ge2 0.9670 0.5000 0.7274  1 Ge 2.62, 7 Nb 2.71-2.93
Sb1 0.3552 0.5000 0.2054  9 Nb 2.88-3.14
Sb2 0.6991 0.0000 0.1165  6 Nb 2.77-2.99

Material: Nb2GeSb
Method: DFT, GGA-PBE
State: relaxed

Polymorph energy (0 for the lowest one), meV/atom: 310
M_tot, μB per formula unit: 0.00
Formation energy from raw total energies, meV/atom: 239
Space group: No. 122

Lattice parameters (Å, degrees): 10.2173 10.2173 10.2173 156.95 156.95 32.83
With the nearest neighbours (Å) after each atom.
Atoms (fractional coordinates):
Nb1 0.1129 0.6250 0.9879  4 Nb 2.82-2.96, 2 Ge 2.83, 2 Sb 2.86
Nb2 0.3750 0.3629 0.4879  4 Nb 2.82-2.96, 2 Ge 2.83, 2 Sb 2.86
Nb3 0.6371 0.1250 0.0121  4 Nb 2.82-2.96, 2 Ge 2.83, 2 Sb 2.86
Nb4 0.8750 0.8871 0.5121  4 Nb 2.82-2.96, 2 Ge 2.83, 2 Sb 2.86
Ge1 0.0000 0.0000 0.0000  4 Nb 2.83, 4 Sb 2.89
Ge2 0.7500 0.2500 0.5000  4 Nb 2.83, 4 Sb 2.89
Sb1 0.2500 0.7500 0.5000  4 Nb 2.86, 4 Ge 2.89
Sb2 0.5000 0.5000 0.0000  4 Nb 2.86, 4 Ge 2.89

Material: Nb2GeSb
Method: DFT, GGA-PBE
State: relaxed

Polymorph energy (0 for the lowest one), meV/atom: 0
M_tot, μB per formula unit: 0.00
Formation energy from raw total energies, meV/atom: -71
Space group: No. 225

Lattice parameters (Å, degrees): 4.7121 4.7121 4.7121 60.00 60.00 60.00
With the nearest neighbours (Å) after each atom.
Atoms (fractional coordinates):
Nb1 0.2500 0.2500 0.2500  4 Ge 2.89, 4 Sb 2.89
Nb2 0.7500 0.7500 0.7500  4 Sb 2.89, 4 Ge 2.89
Ge1 0.0000 0.0000 0.0000  8 Nb 2.89
Sb1 0.5000 0.5000 0.5000  8 Nb 2.89

Material: Nb2GeSb2
Method: DFT, GGA-PBE
State: relaxed

Polymorph energy (0 for the lowest one), meV/atom: 258
M_tot, μB per formula unit: 0.00
Formation energy from raw total energies, meV/atom: 204
Space group: No. 127

Lattice parameters (Å, degrees): 7.9271 7.9271 3.4109 90.00 90.00 90.00
With the nearest neighbours (Å) after each atom.
Atoms (fractional coordinates):
Nb1 0.1469 0.3531 0.0000  6 Sb 2.88
Nb2 0.3531 0.8531 0.0000  6 Sb 2.88
Nb3 0.6469 0.1469 0.0000  6 Sb 2.88
Nb4 0.8531 0.6469 0.0000  6 Sb 2.88
Ge1 0.0000 0.0000 0.5000  4 Sb 3.03
Ge2 0.5000 0.5000 0.5000  4 Sb 3.03
Sb1 0.1463 0.6463 0.5000  6 Nb 2.88, 2 Ge 3.03
Sb2 0.3537 0.1463 0.5000  6 Nb 2.88, 2 Ge 3.03
Sb3 0.6463 0.8537 0.5000  6 Nb 2.88, 2 Ge 3.03
Sb4 0.8537 0.3537 0.5000  6 Nb 2.88, 2 Ge 3.03

Material: Nb7Ge5Sb
Method: DFT, GGA-PBE
State: relaxed

M_tot, μB per formula unit: 0.00
Formation energy from raw total energies, meV/atom: -93
Space group: No. 44

Lattice parameters (Å, degrees): 7.1999 7.1999 7.1999 137.29 95.81 99.44
With the nearest neighbours (Å) after each atom.
Atoms (fractional coordinates):
Nb1 0.0000 0.0000 0.0000  1 Nb 2.57
Nb2 0.2624 0.6046 0.6577  5 Ge 2.78-2.90, 4 Nb 2.90-3.04
Nb3 0.2760 0.2760 0.0000  1 Nb 2.57, 2 Ge 2.76
Nb4 0.4151 0.1084 0.3067  5 Ge 2.71-2.91, 3 Nb 2.85-2.99
Nb5 0.8017 0.1084 0.6933  5 Ge 2.71-2.91, 3 Nb 2.85-2.99
Nb6 0.8398 0.3398 0.5000  4 Ge 2.70, 6 Nb 2.85-3.02
Nb7 0.9469 0.6046 0.3423  5 Ge 2.78-2.90, 4 Nb 2.90-3.04
Ge1 0.1009 0.1059 0.4917  3 Ge 2.60-2.80, 6 Nb 2.70-2.91
Ge2 0.1009 0.6093 0.9950  3 Ge 2.60-2.80, 6 Nb 2.70-2.91
Ge3 0.3693 0.8693 0.5000  6 Nb 2.76-2.91, 4 Ge 2.80
Ge4 0.6143 0.1059 0.0050  3 Ge 2.60-2.80, 6 Nb 2.70-2.91
Ge5 0.6143 0.6093 0.5083  3 Ge 2.60-2.80, 6 Nb 2.70-2.91
Sb1 0.6501 0.6501 0.0000  10 Nb 3.16-3.48, 4 Ge 3.31

Material: Nb2GeSb2
Method: DFT, GGA-PBE
State: relaxed

Polymorph energy (0 for the lowest one), meV/atom: 390
M_tot, μB per formula unit: 0.00
Formation energy from raw total energies, meV/atom: 336
Space group: No. 139

Lattice parameters (Å, degrees): 7.7948 7.7948 7.7948 149.88 149.88 43.12
With the nearest neighbours (Å) after each atom.
Atoms (fractional coordinates):
Nb1 0.2500 0.7500 0.5000  4 Nb 2.86, 4 Sb 2.87
Nb2 0.7500 0.2500 0.5000  4 Nb 2.86, 4 Sb 2.87
Ge1 0.0000 0.0000 0.0000  8 Sb 3.28
Sb1 0.3903 0.3903 0.0000  4 Nb 2.87, 1 Sb 3.18
Sb2 0.6097 0.6097 0.0000  4 Nb 2.87, 1 Sb 3.18

Material: Nb3GeSb
Method: DFT, GGA-PBE
State: relaxed

Polymorph energy (0 for the lowest one), meV/atom: 1602
M_tot, μB per formula unit: 0.00
Formation energy from raw total energies, meV/atom: 1532
Space group: No. 221

Lattice parameters (Å, degrees): 5.0383 5.0383 5.0383 90.00 90.00 90.00
With the nearest neighbours (Å) after each atom.
Atoms (fractional coordinates):
Nb1 0.0000 0.0000 0.5000  2 Sb 2.52
Nb2 0.0000 0.5000 0.0000  2 Sb 2.52
Nb3 0.5000 0.0000 0.0000  2 Sb 2.52
Ge1 0.5000 0.5000 0.5000  12 Nb 3.56
Sb1 0.0000 0.0000 0.0000  6 Nb 2.52

Material: Nb3GeSb
Method: DFT, GGA-PBE
State: relaxed

Polymorph energy (0 for the lowest one), meV/atom: 808
M_tot, μB per formula unit: 0.00
Formation energy from raw total energies, meV/atom: 738
Space group: No. 221

Lattice parameters (Å, degrees): 4.7862 4.7862 4.7862 90.00 90.00 90.00
With the nearest neighbours (Å) after each atom.
Atoms (fractional coordinates):
Nb1 0.0000 0.0000 0.5000  2 Ge 2.39
Nb2 0.0000 0.5000 0.0000  2 Ge 2.39
Nb3 0.5000 0.0000 0.0000  2 Ge 2.39
Ge1 0.0000 0.0000 0.0000  6 Nb 2.39
Sb1 0.5000 0.5000 0.5000  12 Nb 3.38

Material: Nb8Ge2Sb
Method: DFT, GGA-PBE
State: relaxed

M_tot, μB per formula unit: 0.00
Formation energy from raw total energies, meV/atom: -71
Space group: No. 12

Lattice parameters (Å, degrees): 6.9105 6.9105 5.0973 101.87 101.87 112.72
With the nearest neighbours (Å) after each atom.
Atoms (fractional coordinates):
Nb1 0.0943 0.3258 0.6135  2 Ge 2.63-2.70, 2 Nb 2.66-2.84
Nb2 0.2464 0.7536 0.0000  2 Ge 2.65, 1 Sb 2.83, 2 Nb 2.84
Nb3 0.3258 0.0943 0.6135  2 Ge 2.63-2.70, 2 Nb 2.66-2.84
Nb4 0.3881 0.3881 0.1660  2 Ge 2.70, 1 Sb 2.77, 3 Nb 2.82-2.95
Nb5 0.6119 0.6119 0.8340  2 Ge 2.70, 1 Sb 2.77, 3 Nb 2.82-2.95
Nb6 0.6742 0.9057 0.3865  2 Ge 2.63-2.70, 2 Nb 2.66-2.84
Nb7 0.7536 0.2464 0.0000  2 Ge 2.65, 1 Sb 2.83, 2 Nb 2.84
Nb8 0.9057 0.6742 0.3865  2 Ge 2.63-2.70, 2 Nb 2.66-2.84
Ge1 0.3108 0.6892 0.5000  8 Nb 2.63-2.70
Ge2 0.6892 0.3108 0.5000  8 Nb 2.63-2.70
Sb1 0.0000 0.0000 0.0000  4 Nb 2.77-2.83

Material: SrNbGe2Sb
Method: DFT, GGA-PBE
State: relaxed

M_tot, μB per formula unit: 1.65
Formation energy from raw total energies, meV/atom: 1694
Space group: No. 123

Lattice parameters (Å, degrees): 5.4559 5.4559 5.2523 90.00 90.00 90.00
With the nearest neighbours (Å) after each atom.
Atoms (fractional coordinates):
Sr1 0.0000 0.0000 0.0000  2 Nb 2.63, 4 Ge 2.73
Nb1 0.0000 0.0000 0.5000  2 Sr 2.63
Ge1 0.0000 0.5000 0.0000  2 Sr 2.73
Ge2 0.5000 0.0000 0.0000  2 Sr 2.73
Sb1 0.5000 0.5000 0.5000  8 Ge 3.79, 4 Nb 3.86